Entry 1:
DFT (PBE-GGA) results for a relaxed structure of AcHfPO.

Lattice parameters (Å, degrees): 4.0263 6.6105 6.6379 90.00 90.00 90.00
With the nearest neighbours (Å) after each atom.
Space group Pmc2_1 (No. 26)
Symmetry-distinct sites (fractional):
Ac 0.0000 0.2422 0.0000 [2 per cell]  1 O 2.59
Hf 0.5000 0.2149 0.4676 [2 per cell]  2 O 2.07
P 0.5000 0.4849 0.7347 [2 per cell]  2 Hf 2.52
O 0.0000 0.1450 0.4414 [2 per cell]  2 Hf 2.07

## Properties
Its energy above the most stable polymorph in this dataset is 160 meV/atom. The volume comes out at 177 Å³/cell.

---

Entry 2:
DFT (PBE-GGA) results for a relaxed structure of AcHfPO.

Lattice parameters (Å, degrees): 4.2866 4.2866 9.3100 90.00 90.00 90.00
With the nearest neighbours (Å) after each atom.
Space group P4/nmm (No. 129, origin choice 2)
Symmetry-distinct sites (fractional):
Ac 0.2500 0.2500 0.1330 [2 per cell]  4 O 2.48
Hf 0.2500 0.7500 0.5000 [2 per cell]  4 P 2.62
P 0.2500 0.2500 0.6612 [2 per cell]  4 Hf 2.62
O 0.2500 0.7500 0.0000 [2 per cell]  4 Ac 2.48

## Properties
Its energy above the most stable polymorph in this dataset is 0 meV/atom. The volume comes out at 171 Å³/cell.

---

Entry 3:
DFT (PBE-GGA) results for a relaxed structure of AcHfOs.

Lattice parameters (Å, degrees): 6.7212 6.7212 6.7212 90.00 90.00 90.00
With the nearest neighbours (Å) after each atom.
Space group F-43m (No. 216)
Symmetry-distinct sites (fractional):
Ac 0.0000 0.0000 0.0000 [4 per cell]  4 Hf 2.91
Hf 0.2500 0.2500 0.2500 [4 per cell]  4 Ac 2.91, 4 Os 2.91
Os 0.0000 0.0000 0.5000 [4 per cell]  4 Hf 2.91

## Properties
The volume comes out at 304 Å³/cell. The value obtained for the energy relative to the elements is 678.9 meV per atom.

---

Entry 4:
DFT (PBE-GGA) results for a relaxed structure of AcHfPb.

Lattice parameters (Å, degrees): 7.6841 7.6841 7.6841 90.00 90.00 90.00
With the nearest neighbours (Å) after each atom.
Space group F-43m (No. 216)
Symmetry-distinct sites (fractional):
Ac 0.0000 0.0000 0.0000 [4 per cell]  4 Hf 3.33, 4 Pb 3.33
Hf 0.2500 0.2500 0.7500 [4 per cell]  4 Ac 3.33
Pb 0.2500 0.2500 0.2500 [4 per cell]  4 Ac 3.33

## Properties
Its energy above the most stable polymorph in this dataset is 575 meV/atom. The volume comes out at 454 Å³/cell.

---

Entry 5:
DFT (PBE-GGA) results for a relaxed structure of AcHfPb.

Lattice parameters (Å, degrees): 7.4190 7.4190 7.4190 90.00 90.00 90.00
With the nearest neighbours (Å) after each atom.
Space group F-43m (No. 216)
Symmetry-distinct sites (fractional):
Ac 0.0000 0.0000 0.0000 [4 per cell]  4 Pb 3.21
Hf 0.0000 0.0000 0.5000 [4 per cell]  4 Pb 3.21
Pb 0.2500 0.2500 0.2500 [4 per cell]  4 Hf 3.21, 4 Ac 3.21

## Properties
Its energy above the most stable polymorph in this dataset is 0 meV/atom. The volume comes out at 408 Å³/cell.

---

Entry 6:
DFT (PBE-GGA) results for a relaxed structure of AcPmHf.

Lattice parameters (Å, degrees): 7.6527 7.6527 7.6527 90.00 90.00 90.00
With the nearest neighbours (Å) after each atom.
Space group F-43m (No. 216)
Symmetry-distinct sites (fractional):
Ac 0.0000 0.0000 0.0000 [4 per cell]  4 Hf 3.31
Pm 0.0000 0.0000 0.5000 [4 per cell]  4 Hf 3.31
Hf 0.2500 0.2500 0.2500 [4 per cell]  4 Ac 3.31, 4 Pm 3.31

## Properties
Its energy above the most stable polymorph in this dataset is 0 meV/atom. The volume comes out at 448 Å³/cell. The value obtained for the energy relative to the elements is 813.3 meV per atom.